## MgIr2Cl (PBE)

Data for a geometry-optimized MgIr2Cl structure.

Unit cell a=4.5350 b=4.5350 c=4.5350 alpha=60.00 beta=60.00 gamma=60.00
Site moments in Bohr magnetons follow the coordinates.
Fractional coordinates of all 4 atoms:
Mg1 0.7500 0.7500 0.7500  0.01
Ir1 0.2500 0.2500 0.2500  1.06
Ir2 0.0000 0.0000 0.0000  0.87
Cl1 0.5000 0.5000 0.5000  0.07

Computed properties:
Energy relative to the lowest polymorph listed for this composition = 625 meV per atom
Space-group type = No. 216

## MgIr2Cl (PBE)

Data for a geometry-optimized MgIr2Cl structure.

Unit cell a=5.8823 b=3.5576 c=3.5576 alpha=90.00 beta=90.00 gamma=90.00
Fractional coordinates of all 4 atoms:
Ir1 0.0000 0.5000 0.5000
Ir2 0.0000 0.0000 0.0000
Cl1 0.5000 0.0000 0.5000
Mg1 0.5000 0.5000 0.0000

Computed properties:
Energy relative to the lowest polymorph listed for this composition = 303 meV per atom
Space-group type = No. 123

## MgIrCl3 (PBE)

Data for a geometry-optimized MgIrCl3 structure.

Unit cell a=4.8368 b=4.8368 c=4.8368 alpha=90.00 beta=90.00 gamma=90.00
Fractional coordinates of all 5 atoms:
Ir1 0.0000 0.0000 0.0000
Cl1 0.0000 0.0000 0.5000
Cl2 0.0000 0.5000 0.0000
Cl3 0.5000 0.0000 0.0000
Mg1 0.5000 0.5000 0.5000

Computed properties:
Energy relative to the lowest polymorph listed for this composition = 0 meV per atom
Space-group type = No. 221

## MgIrCl (PBE)

Data for a geometry-optimized MgIrCl structure.

Unit cell a=3.0203 b=3.0203 c=7.2171 alpha=90.00 beta=90.00 gamma=120.00
Site moments in Bohr magnetons follow the coordinates.
Fractional coordinates of all 3 atoms:
Cl1 0.0000 0.0000 0.9138  0.00
Ir1 0.6667 0.3333 0.3989  0.60
Mg1 0.3333 0.6667 0.6872  0.00

Computed properties:
Energy relative to the lowest polymorph listed for this composition = 480 meV per atom
Space-group type = No. 156

## MgIrCl (PBE)

Data for a geometry-optimized MgIrCl structure.

Unit cell a=7.7321 b=7.4987 c=2.9349 alpha=83.40 beta=74.45 gamma=22.15
Site moments in Bohr magnetons follow the coordinates.
Fractional coordinates of all 3 atoms:
Cl1 0.0410 0.0410 0.9590  0.00
Mg1 0.6585 0.6585 0.3415  0.00
Ir1 0.3005 0.3005 0.6995  0.36

Computed properties:
Energy relative to the lowest polymorph listed for this composition = 601 meV per atom
Space-group type = No. 42

## MgIrCl2 (PBE)

Data for a geometry-optimized MgIrCl2 structure.

Unit cell a=9.1737 b=9.1737 c=9.1737 alpha=21.11 beta=21.11 gamma=21.11
Site moments in Bohr magnetons follow the coordinates.
Fractional coordinates of all 4 atoms:
Cl1 0.2197 0.2197 0.2197  0.19
Cl2 0.0295 0.0295 0.0295  0.00
Mg1 0.7525 0.7525 0.7525  -0.01
Ir1 0.4983 0.4983 0.4983  0.75

Computed properties:
Energy relative to the lowest polymorph listed for this composition = 70 meV per atom
Space-group type = No. 160

## NaMgIr2Cl (PBE)

Data for a geometry-optimized NaMgIr2Cl structure.

Unit cell a=4.5555 b=4.6956 c=4.5555 alpha=90.00 beta=90.00 gamma=90.00
Fractional coordinates of all 5 atoms:
Cl1 0.0000 0.0000 0.0000
Ir1 0.5000 0.0000 0.0000
Ir2 0.0000 0.0000 0.5000
Mg1 0.0000 0.5000 0.0000
Na1 0.5000 0.5000 0.5000

Computed properties:
Space-group type = No. 123

## Mg2NbIrCl (PBE)

Data for a geometry-optimized Mg2NbIrCl structure.

Unit cell a=5.7313 b=4.5963 c=5.7313 alpha=90.00 beta=90.00 gamma=90.00
Fractional coordinates of all 5 atoms:
Mg1 0.5000 0.0000 0.0000
Mg2 0.0000 0.0000 0.5000
Ir1 0.0000 0.5000 0.0000
Nb1 0.0000 0.0000 0.0000
Cl1 0.5000 0.5000 0.5000

Computed properties:
Space-group type = No. 123

## MgIr2ClO (PBE)

Data for a geometry-optimized MgIr2ClO structure.

Unit cell a=4.3350 b=4.9535 c=4.3350 alpha=90.00 beta=90.00 gamma=90.00
Site moments in Bohr magnetons follow the coordinates.
Fractional coordinates of all 5 atoms:
Mg1 0.0000 0.5000 0.0000  -0.01
Ir1 0.5000 0.0000 0.0000  0.66
Ir2 0.0000 0.0000 0.5000  0.56
Cl1 0.0000 0.0000 0.0000  0.02
O1 0.5000 0.5000 0.5000  0.72

Computed properties:
Space-group type = No. 123

## MgPIrCl2 (PBE)

Data for a geometry-optimized MgPIrCl2 structure.

Unit cell a=4.3998 b=4.3998 c=6.5152 alpha=90.00 beta=90.00 gamma=90.00
Site moments in Bohr magnetons follow the coordinates.
Fractional coordinates of all 5 atoms:
Cl1 0.0000 0.5000 0.0000  0.04
Cl2 0.5000 0.0000 0.0000  0.04
P1 0.0000 0.0000 0.5000  0.30
Mg1 0.0000 0.0000 0.0000  0.00
Ir1 0.5000 0.5000 0.5000  1.61

Computed properties:
Energy relative to the lowest polymorph listed for this composition = 533 meV per atom
Space-group type = No. 123

## MgPIrCl2 (PBE)

Data for a geometry-optimized MgPIrCl2 structure.

Unit cell a=5.0240 b=5.0240 c=4.4951 alpha=90.00 beta=90.00 gamma=90.00
Fractional coordinates of all 5 atoms:
Cl1 0.5000 0.0000 0.0000
Cl2 0.0000 0.5000 0.0000
Ir1 0.0000 0.0000 0.0000
P1 0.0000 0.0000 0.5000
Mg1 0.5000 0.5000 0.5000

Computed properties:
Energy relative to the lowest polymorph listed for this composition = 0 meV per atom
Space-group type = No. 123

## MgIrSCl2 (PBE)

Data for a geometry-optimized MgIrSCl2 structure.

Unit cell a=4.8805 b=4.8805 c=4.6110 alpha=90.00 beta=90.00 gamma=90.00
Fractional coordinates of all 5 atoms:
S1 0.0000 0.0000 0.5000
Mg1 0.5000 0.5000 0.5000
Cl1 0.0000 0.5000 0.0000
Cl2 0.5000 0.0000 0.0000
Ir1 0.0000 0.0000 0.0000

Computed properties:
Energy relative to the lowest polymorph listed for this composition = 0 meV per atom
Space-group type = No. 123

In the order shown, the computed formation energy (no corrections) values come out to 0.5422; 0.2204; -0.1315; -0.2289; -0.1074; -0.3852; 0.8450; 0.9083; 1.3059; 0.5725; 0.0396; -0.0912 eV per atom.
In the order shown, the computed size of the total moment values come out to 2.1; 0.0; 0.0; 0.6; 0.3; 1.0; 0.0; 0.0; 2.0; 2.6; 0.0; 0.0 μB/cell.
In the order shown, the computed DOS(E_F) values come out to 0.83; 0.68; 0.50; 0.87; 0.78; 0.82; 0.90; 1.10; 0.77; 1.24; 0.74; 0.56 states/eV per atom.